A plane-wave DFT calculation with PBE-GGA was carried out for SnTeIr after structural relaxation.

* calculated density: 9.15 g/cm3
* energy relative to the elements, uncorrected: -117 meV per atom
* total moment: 0.00 μB per formula unit

abc: 4.089 4.089 16.487
angles: 90.00 90.00 120.00
Atoms (fractional coordinates):
Sn (0.333, 0.667, 0.727)
Te (0.667, 0.333, 0.574)
Ir (0.667, 0.333, 0.982)
Te (0.333, 0.667, 0.907)
Sn (0.667, 0.333, 0.394)
Ir (0.333, 0.667, 0.315)
Sn (0.000, 0.000, 0.060)
Te (0.000, 0.000, 0.241)
Ir (0.000, 0.000, 0.649)